Entry 1:
The following is a DFT calculation (PBEsol) of a relaxed SiHg2Mo crystal.

Properties
* raw formation energy: 0.473 eV per atom

a = 3.985 Å, b = 3.985 Å, c = 5.200 Å
α = 112.53°, β = 112.53°, γ = 90.00°
Sites, in units of the cell vectors:
Hg 0.000 0.000 0.000
Hg 0.750 0.250 0.500
Mo 0.500 0.500 0.000
Si 0.250 0.750 0.500

Entry 2:
The following is a DFT calculation (PBEsol) of a relaxed TaNi2Br crystal.

Properties
* raw formation energy: 0.488 eV per atom

a = 2.971 Å, b = 4.261 Å, c = 4.446 Å
α = 90.00°, β = 90.00°, γ = 90.00°
Sites, in units of the cell vectors:
Br 0.000 0.500 0.500
Ni 0.000 0.000 0.000
Ni 0.500 0.000 0.500
Ta 0.500 0.500 0.000

Entry 3:
The following is a DFT calculation (PBEsol) of a relaxed MgTc2Pt crystal.

Properties
* formation energy from the elements: -113 meV/atom

a = 2.868 Å, b = 2.868 Å, c = 7.345 Å
α = 90.00°, β = 90.00°, γ = 90.00°
Sites, in units of the cell vectors:
Mg 0.000 0.000 0.504
Pt 0.500 0.500 0.753
Tc 0.000 0.000 0.021
Tc 0.500 0.500 0.222

Entry 4:
The following is a DFT calculation (PBEsol) of a relaxed ScTcSeBr2 crystal.

Properties
* raw formation energy: 0.101 eV per atom
* polymorph energy (0 for the lowest one): 0.004 eV/atom

a = 5.113 Å, b = 5.113 Å, c = 5.166 Å
α = 90.00°, β = 90.00°, γ = 90.00°
Sites, in units of the cell vectors:
Sc 0.000 0.000 0.000
Se 0.000 0.000 0.500
Tc 0.500 0.500 0.500
Br 0.000 0.500 0.000
Br 0.500 0.000 0.000

Entry 5:
The following is a DFT calculation (PBEsol) of a relaxed ScMo5 crystal.

Properties
* polymorph energy (0 for the lowest one): 0.020 eV/atom
* formation energy from the elements: 46 meV/atom

a = 3.136 Å, b = 3.136 Å, c = 9.749 Å
α = 90.00°, β = 90.00°, γ = 90.00°
Sites, in units of the cell vectors:
Sc 0.500 0.500 0.000
Mo 0.000 0.000 0.814
Mo 0.000 0.000 0.186
Mo 0.500 0.500 0.662
Mo 0.500 0.500 0.338
Mo 0.000 0.000 0.500

Entry 6:
The following is a DFT calculation (PBEsol) of a relaxed Ba4Nd4Zn3PtO15 crystal.

Properties
* raw formation energy: -2.470 eV per atom

a = 6.756 Å, b = 11.694 Å, c = 11.694 Å
α = 120.00°, β = 90.00°, γ = 90.00°
Sites, in units of the cell vectors:
Ba 0.342 0.827 0.655
Ba 0.842 0.655 0.827
Ba 0.842 0.173 0.827
Ba 0.342 0.827 0.173
Ba 0.842 0.173 0.345
Ba 0.342 0.345 0.173
Ba 0.159 0.333 0.667
Ba 0.659 0.667 0.333
Nd 0.170 0.000 0.000
Nd 0.996 0.523 0.477
Nd 0.496 0.047 0.523
Nd 0.996 0.953 0.477
Nd 0.996 0.523 0.047
Nd 0.670 0.000 0.000
Nd 0.496 0.477 0.953
Nd 0.496 0.477 0.523
Zn 0.326 0.171 0.342
Zn 0.826 0.342 0.171
Zn 0.826 0.829 0.171
Zn 0.326 0.171 0.829
Zn 0.326 0.658 0.829
Zn 0.826 0.829 0.658
Pt 0.682 0.333 0.667
Pt 0.182 0.667 0.333
O 0.438 0.084 0.168
O 0.938 0.168 0.084
O 0.938 0.916 0.084
O 0.438 0.084 0.916
O 0.438 0.832 0.916
O 0.938 0.916 0.832
O 0.198 0.337 0.395
O 0.198 0.057 0.663
O 0.198 0.605 0.943
O 0.698 0.395 0.057
O 0.698 0.663 0.605
O 0.698 0.943 0.337
O 0.198 0.057 0.395
O 0.698 0.395 0.337
O 0.698 0.663 0.057
O 0.198 0.337 0.943
O 0.198 0.605 0.663
O 0.698 0.943 0.605
O 0.510 0.251 0.502
O 0.010 0.502 0.251
O 0.010 0.749 0.251
O 0.510 0.251 0.749
O 0.510 0.498 0.749
O 0.010 0.749 0.498
O 0.342 0.583 0.166
O 0.842 0.166 0.583
O 0.842 0.417 0.583
O 0.342 0.583 0.417
O 0.342 0.834 0.417
O 0.842 0.417 0.834

Entry 7:
The following is a DFT calculation (PBEsol) of a relaxed LiFeSO4F crystal.

Properties
* raw formation energy: -1.646 eV per atom

a = 5.158 Å, b = 5.449 Å, c = 7.217 Å
α = 106.66°, β = 107.44°, γ = 98.78°
Sites, in units of the cell vectors:
Li 0.280 0.642 0.801
Li 0.720 0.358 0.199
Fe 0.000 0.000 0.500
Fe 0.000 0.000 0.000
S 0.320 0.641 0.249
S 0.680 0.359 0.751
O 0.594 0.763 0.420
O 0.406 0.237 0.580
O 0.085 0.646 0.330
O 0.915 0.354 0.670
O 0.317 0.360 0.142
O 0.683 0.640 0.858
O 0.283 0.780 0.096
O 0.717 0.220 0.904
F 0.129 0.912 0.754
F 0.871 0.088 0.246

Entry 8:
The following is a DFT calculation (PBEsol) of a relaxed BeMoN2F crystal.

Properties
* raw formation energy: 0.105 eV per atom

a = 3.902 Å, b = 3.902 Å, c = 3.907 Å
α = 90.00°, β = 90.00°, γ = 90.00°
Sites, in units of the cell vectors:
Be 0.500 0.500 0.500
Mo 0.000 0.000 0.000
N 0.000 0.500 0.000
N 0.500 0.000 0.000
F 0.000 0.000 0.500

Entry 9:
The following is a DFT calculation (PBEsol) of a relaxed Be3PtBr crystal.

Properties
* raw formation energy: 0.325 eV per atom

a = 4.380 Å, b = 4.380 Å, c = 4.380 Å
α = 90.00°, β = 90.00°, γ = 90.00°
Sites, in units of the cell vectors:
Be 0.000 0.500 0.000
Be 0.000 0.000 0.500
Be 0.500 0.000 0.000
Br 0.500 0.500 0.500
Pt 0.000 0.000 0.000

Entry 10:
The following is a DFT calculation (PBEsol) of a relaxed LiCa2PH crystal.

Properties
* VASP energy: -3.69 eV per atom

a = 3.958 Å, b = 4.615 Å, c = 4.615 Å
α = 90.00°, β = 90.00°, γ = 90.00°
Sites, in units of the cell vectors:
P 0.500 0.500 0.500
Ca 0.000 0.000 0.500
Ca 0.000 0.500 0.000
H 0.000 0.000 0.000
Li 0.500 0.000 0.000

Entry 11:
The following is a DFT calculation (PBEsol) of a relaxed Nb2Bi2Au crystal.

Properties
* formation energy from the elements: 449 meV/atom

a = 3.688 Å, b = 3.688 Å, c = 9.095 Å
α = 101.70°, β = 101.70°, γ = 90.00°
Sites, in units of the cell vectors:
Nb 0.250 0.750 0.500
Nb 0.750 0.250 0.500
Au 0.000 0.000 0.000
Bi 0.395 0.395 0.789
Bi 0.605 0.605 0.211

Entry 12:
The following is a DFT calculation (PBEsol) of a relaxed Mg5Cd3 crystal.

Properties
* polymorph energy (0 for the lowest one): 0.023 eV/atom
* formation energy from the elements: -68 meV/atom

a = 5.632 Å, b = 8.338 Å, c = 8.338 Å
α = 83.45°, β = 70.26°, γ = 70.26°
Sites, in units of the cell vectors:
Cd 0.167 0.500 0.167
Cd 0.250 0.000 0.000
Cd 0.667 0.167 0.500
Cd 0.333 0.833 0.500
Cd 0.750 0.000 0.000
Cd 0.833 0.500 0.833
Mg 0.725 0.851 0.699
Mg 0.424 0.301 0.851
Mg 0.750 0.500 0.500
Mg 0.924 0.851 0.301
Mg 0.225 0.699 0.851
Mg 0.775 0.301 0.149
Mg 0.076 0.149 0.699
Mg 0.250 0.500 0.500
Mg 0.576 0.699 0.149
Mg 0.275 0.149 0.301